No. 1
{
  "formula": "UPa2Fe9",
  "functional": "PBE",
  "state": "optimized geometry",
  "magmom_total_mub_per_cell": 22.45,
  "delta_e_f_ev_per_fu": -1.2,
  "de_polymorph_ev_per_fu": 0.00,
  "n_ef_per_ev_cell": 32.2,
  "crystal_system": "hexagonal",
  "space_group": "P6_3/mmc, No. 194",
  "lattice_angstrom": [[4.8524, 0.0000, 0.0000], [-2.4262, 4.2023, 0.0000], [0.0000, 0.0000, 16.9180]],
  "species": ["U", "U", "Pa", "Pa", "Pa", "Pa", "Fe", "Fe", "Fe", "Fe", "Fe", "Fe", "Fe", "Fe", "Fe", "Fe", "Fe", "Fe", "Fe", "Fe", "Fe", "Fe", "Fe", "Fe"],
  "frac_coords": [[0.3333, 0.6667, 0.7500], [0.6667, 0.3333, 0.2500], [0.3333, 0.6667, 0.5365], [0.6667, 0.3333, 0.0365], [0.6667, 0.3333, 0.4635], [0.3333, 0.6667, 0.9635], [0.0000, 0.0000, 0.0000], [0.0000, 0.0000, 0.5000], [0.0000, 0.0000, 0.2500], [0.0000, 0.0000, 0.7500], [0.3333, 0.6667, 0.2500], [0.6667, 0.3333, 0.7500], [0.1672, 0.3344, 0.1273], [0.6656, 0.8328, 0.1273], [0.1672, 0.8328, 0.1273], [0.8328, 0.6656, 0.6273], [0.3344, 0.1672, 0.6273], [0.8328, 0.1672, 0.6273], [0.3344, 0.1672, 0.8727], [0.8328, 0.6656, 0.8727], [0.8328, 0.1672, 0.8727], [0.6656, 0.8328, 0.3727], [0.1672, 0.3344, 0.3727], [0.1672, 0.8328, 0.3727]]
}

=====

No. 2
{
  "formula": "TbNd5Mg5",
  "functional": "PBE",
  "state": "optimized geometry",
  "magmom_total_mub_per_cell": 0.04,
  "delta_e_f_ev_per_fu": 1.5,
  "n_ef_per_ev_cell": 13.1,
  "crystal_system": "monoclinic",
  "space_group": "C2/m, No. 12",
  "lattice_angstrom": [[5.8995, 0.0000, 0.0000], [-2.9497, 9.1418, 0.3222], [0.0000, -2.7180, 6.2063]],
  "species": ["Tb", "Nd", "Nd", "Nd", "Nd", "Nd", "Mg", "Mg", "Mg", "Mg", "Mg"],
  "frac_coords": [[0.0000, 0.0000, 0.0000], [0.6843, 0.3685, 0.1849], [0.6323, 0.2645, 0.6335], [0.0000, 0.0000, 0.5000], [0.3677, 0.7355, 0.3665], [0.3157, 0.6315, 0.8151], [0.8319, 0.6639, 0.0644], [0.8320, 0.6640, 0.5987], [0.5000, 0.0000, 0.0000], [0.1680, 0.3360, 0.4013], [0.1681, 0.3361, 0.9356]]
}